No. 1
This record from Alexandria describes an optimized crystal structure of ReOsS2N. The functional is PBE.

a b c (Å): 4.7832 4.7832 3.6461
angles (deg): 90.00 90.00 90.00
With the nearest neighbours (Å) after each atom.
Space group P4/mmm (No. 123)
One atom of each set of equivalent atoms:
Re 0.0000 0.0000 0.0000 [1 per cell]  8 S 3.01
Os 0.5000 0.5000 0.5000 [1 per cell]  2 N 1.82
S 0.0000 0.5000 0.5000 [2 per cell]  2 Os 2.39
N 0.5000 0.5000 0.0000 [1 per cell]  2 Os 1.82

Calculated values
uncorrected energy	-34.19	eV per cell
formation energy without anion corrections	1214	meV per atom
density	9.05	Mg/m³
DOS(E_F)	2.41	states/eV per cell

---

No. 2
This record from Alexandria describes an optimized crystal structure of ReOsSN2. The functional is PBE.

a b c (Å): 3.7602 3.7602 5.2536
angles (deg): 90.00 90.00 90.00
With the nearest neighbours (Å) after each atom.
Space group P4/mmm (No. 123)
One atom of each set of equivalent atoms:
Re 0.0000 0.0000 0.0000 [1 per cell]  4 S 2.66
Os 0.5000 0.5000 0.5000 [1 per cell]  4 N 1.88
S 0.5000 0.5000 0.0000 [1 per cell]  2 Os 2.63, 4 Re 2.66
N 0.0000 0.5000 0.5000 [2 per cell]  2 Os 1.88

Calculated values
uncorrected energy	-37.64	eV per cell
formation energy without anion corrections	1363	meV per atom
density	9.76	Mg/m³
DOS(E_F)	3.52	states/eV per cell
ΔE to the lowest computed polymorph	62	meV/atom

---

No. 3
This record from Alexandria describes an optimized crystal structure of ReOsS2N. The functional is PBE.

a b c (Å): 4.7351 4.7351 3.6821
angles (deg): 90.00 90.00 90.00
With the nearest neighbours (Å) after each atom.
Space group P4/mmm (No. 123)
One atom of each set of equivalent atoms:
Re 0.0000 0.0000 0.0000 [1 per cell]  2 N 1.84
Os 0.5000 0.5000 0.5000 [1 per cell]  8 S 3.00, 4 N 3.35
S 0.0000 0.5000 0.0000 [2 per cell]  2 Re 2.37
N 0.0000 0.0000 0.5000 [1 per cell]  2 Re 1.84

Calculated values
uncorrected energy	-34.20	eV per cell
formation energy without anion corrections	1212	meV per atom
density	9.14	Mg/m³
DOS(E_F)	3.78	states/eV per cell

---

No. 4
This record from Alexandria describes an optimized crystal structure of ReOsSN2. The functional is PBE.

a b c (Å): 3.7891 3.7891 5.1403
angles (deg): 90.00 90.00 90.00
With the nearest neighbours (Å) after each atom.
Space group P4/mmm (No. 123)
One atom of each set of equivalent atoms:
Re 0.0000 0.0000 0.0000 [1 per cell]  4 N 1.89
Os 0.5000 0.5000 0.5000 [1 per cell]  4 S 2.68
S 0.0000 0.0000 0.5000 [1 per cell]  2 Re 2.57, 4 Os 2.68
N 0.0000 0.5000 0.0000 [2 per cell]  2 Re 1.89

Calculated values
uncorrected energy	-37.95	eV per cell
formation energy without anion corrections	1301	meV per atom
density	9.82	Mg/m³
DOS(E_F)	5.53	states/eV per cell
ΔE to the lowest computed polymorph	0	meV/atom

---

No. 5
This record from Alexandria describes an optimized crystal structure of ReSnOsN2. The functional is PBE.

a b c (Å): 3.8887 3.8887 5.7539
angles (deg): 90.00 90.00 90.00
With the nearest neighbours (Å) after each atom.
Space group P4/mmm (No. 123)
One atom of each set of equivalent atoms:
Re 0.0000 0.0000 0.0000 [1 per cell]  4 Os 2.75, 2 Sn 2.88
Sn 0.0000 0.0000 0.5000 [1 per cell]  4 N 1.94
Os 0.5000 0.5000 0.0000 [1 per cell]  4 Re 2.75
N 0.0000 0.5000 0.5000 [2 per cell]  2 Sn 1.94

Calculated values
uncorrected energy	-31.16	eV per cell
formation energy without anion corrections	2634	meV per atom
density	9.98	Mg/m³
DOS(E_F)	6.71	states/eV per cell

---

No. 6
This record from Alexandria describes an optimized crystal structure of TaRe2OsN. The functional is PBE.

a b c (Å): 4.0942 4.0942 4.0992
angles (deg): 90.00 90.00 90.00
With the nearest neighbours (Å) after each atom.
Space group P4/mmm (No. 123)
One atom of each set of equivalent atoms:
Ta 0.0000 0.0000 0.0000 [1 per cell]  4 Os 2.90, 8 Re 2.90
Re 0.0000 0.5000 0.5000 [2 per cell]  2 N 2.05
Os 0.5000 0.5000 0.0000 [1 per cell]  2 N 2.05
N 0.5000 0.5000 0.5000 [1 per cell]  4 Re 2.05, 2 Os 2.05

Calculated values
uncorrected energy	-55.76	eV per cell
formation energy without anion corrections	108	meV per atom
density	18.31	Mg/m³
DOS(E_F)	4.02	states/eV per cell

---

No. 7
This record from Alexandria describes an optimized crystal structure of ReTe2OsN. The functional is PBE.

a b c (Å): 4.8575 4.8575 3.7641
angles (deg): 90.00 90.00 90.00
With the nearest neighbours (Å) after each atom.
Space group P4/mmm (No. 123)
One atom of each set of equivalent atoms:
Re 0.0000 0.0000 0.0000 [1 per cell]  8 Te 3.07, 4 Os 3.43
Te 0.0000 0.5000 0.5000 [2 per cell]  2 N 2.43
Os 0.5000 0.5000 0.0000 [1 per cell]  2 N 1.88
N 0.5000 0.5000 0.5000 [1 per cell]  2 Os 1.88

Calculated values
uncorrected energy	-31.57	eV per cell
formation energy without anion corrections	1343	meV per atom
density	12.07	Mg/m³
DOS(E_F)	3.77	states/eV per cell
ΔE to the lowest computed polymorph	232	meV/atom

---

No. 8
This record from Alexandria describes an optimized crystal structure of ReTe2OsN. The functional is PBE.

a b c (Å): 5.3431 5.3431 3.6291
angles (deg): 90.00 90.00 90.00
With the nearest neighbours (Å) after each atom.
Space group P4/mmm (No. 123)
One atom of each set of equivalent atoms:
Re 0.0000 0.0000 0.0000 [1 per cell]  8 Te 3.23
Te 0.0000 0.5000 0.5000 [2 per cell]  2 Os 2.67
Os 0.5000 0.5000 0.5000 [1 per cell]  2 N 1.81
N 0.5000 0.5000 0.0000 [1 per cell]  2 Os 1.81

Calculated values
uncorrected energy	-32.73	eV per cell
formation energy without anion corrections	1112	meV per atom
density	10.35	Mg/m³
DOS(E_F)	3.05	states/eV per cell
ΔE to the lowest computed polymorph	0	meV/atom

---

No. 9
This record from Alexandria describes an optimized crystal structure of ReTe2OsN. The functional is PBE.

a b c (Å): 5.2846 5.2846 3.6570
angles (deg): 90.00 90.00 90.00
With the nearest neighbours (Å) after each atom.
Space group P4/mmm (No. 123)
One atom of each set of equivalent atoms:
Re 0.0000 0.0000 0.0000 [1 per cell]  2 N 1.83
Te 0.0000 0.5000 0.0000 [2 per cell]  2 Re 2.64
Os 0.5000 0.5000 0.5000 [1 per cell]  8 Te 3.21
N 0.0000 0.0000 0.5000 [1 per cell]  2 Re 1.83

Calculated values
uncorrected energy	-32.68	eV per cell
formation energy without anion corrections	1121	meV per atom
density	10.50	Mg/m³
DOS(E_F)	5.71	states/eV per cell
ΔE to the lowest computed polymorph	9	meV/atom

---

No. 10
This record from Alexandria describes an optimized crystal structure of ReTeOs2N. The functional is PBE.

a b c (Å): 4.9432 4.9432 3.7404
angles (deg): 90.00 90.00 90.00
With the nearest neighbours (Å) after each atom.
Space group P4/mmm (No. 123)
One atom of each set of equivalent atoms:
Re 0.0000 0.0000 0.0000 [1 per cell]  2 N 1.87
Te 0.5000 0.5000 0.5000 [1 per cell]  8 Os 3.10
Os 0.0000 0.5000 0.0000 [2 per cell]  2 Re 2.47
N 0.0000 0.0000 0.5000 [1 per cell]  2 Re 1.87

Calculated values
uncorrected energy	-38.91	eV per cell
formation energy without anion corrections	1492	meV per atom
density	12.87	Mg/m³
DOS(E_F)	5.88	states/eV per cell

---

No. 11
This record from Alexandria describes an optimized crystal structure of Th2ReOsN6. The functional is PBE.

a b c (Å): 5.5550 5.7231 9.5863
angles (deg): 90.00 125.31 90.00
With the nearest neighbours (Å) after each atom.
Space group P2_1/c (No. 14)
One atom of each set of equivalent atoms:
Th 0.2404 0.0495 0.2502 [4 per cell]  6 N 2.42-2.69
Re 0.0000 0.0000 0.5000 [2 per cell]  6 N 1.99-2.04
Os 0.5000 0.0000 0.0000 [2 per cell]  6 N 2.02-2.08
N 0.1535 0.2081 0.9545 [4 per cell]  1 Re 2.03, 1 Os 2.08
N 0.2546 0.7024 0.9573 [4 per cell]  1 Re 2.04, 1 Os 2.07
N 0.3270 0.0159 0.7477 [4 per cell]  1 Re 1.99, 1 Os 2.02

Calculated values
uncorrected energy	-191.18	eV per cell
formation energy without anion corrections	-712	meV per atom
density	12.35	Mg/m³
DOS(E_F)	14.47	states/eV per cell

---

No. 12
This record from Alexandria describes an optimized crystal structure of V2ReOsN. The functional is PBE.

a b c (Å): 4.7248 4.7248 3.6738
angles (deg): 90.00 90.00 90.00
With the nearest neighbours (Å) after each atom.
Space group P4/mmm (No. 123)
One atom of each set of equivalent atoms:
V 0.0000 0.5000 0.0000 [2 per cell]  2 Re 2.36
Re 0.0000 0.0000 0.0000 [1 per cell]  2 N 1.84
Os 0.5000 0.5000 0.5000 [1 per cell]  8 V 2.99, 4 N 3.34
N 0.0000 0.0000 0.5000 [1 per cell]  2 Re 1.84

Calculated values
uncorrected energy	-42.85	eV per cell
formation energy without anion corrections	1479	meV per atom
density	9.97	Mg/m³
DOS(E_F)	8.60	states/eV per cell

---

No. 13
This record from Alexandria describes an optimized crystal structure of ZnReOs2N. The functional is PBE.

a b c (Å): 4.8716 4.8716 3.7285
angles (deg): 90.00 90.00 90.00
With the nearest neighbours (Å) after each atom.
Space group P4/mmm (No. 123)
One atom of each set of equivalent atoms:
Zn 0.0000 0.0000 0.0000 [1 per cell]  8 Os 3.07
Re 0.5000 0.5000 0.5000 [1 per cell]  2 N 1.86
Os 0.0000 0.5000 0.5000 [2 per cell]  2 Re 2.44
N 0.5000 0.5000 0.0000 [1 per cell]  2 Re 1.86

Calculated values
uncorrected energy	-36.08	eV per cell
formation energy without anion corrections	1686	meV per atom
density	12.12	Mg/m³
DOS(E_F)	6.05	states/eV per cell

---

No. 14
This record from Alexandria describes an optimized crystal structure of OsRhN3. The functional is PBE.

a b c (Å): 3.8152 3.8152 3.8152
angles (deg): 90.00 90.00 90.00
With the nearest neighbours (Å) after each atom.
Space group Pm-3m (No. 221)
One atom of each set of equivalent atoms:
Os 0.0000 0.0000 0.0000 [1 per cell]  12 N 2.70
Rh 0.5000 0.5000 0.5000 [1 per cell]  6 N 1.91
N 0.0000 0.5000 0.5000 [3 per cell]  2 Rh 1.91

Calculated values
uncorrected energy	-32.38	eV per cell
formation energy without anion corrections	2235	meV per atom
density	10.02	Mg/m³
DOS(E_F)	4.08	states/eV per cell

---

No. 15
This record from Alexandria describes an optimized crystal structure of OsRh2N. The functional is PBE.

a b c (Å): 6.3656 6.3656 5.1130
angles (deg): 90.00 90.00 90.00
With the nearest neighbours (Å) after each atom.
Space group I-42d (No. 122)
One atom of each set of equivalent atoms:
Os 0.0000 0.0000 0.0000 [4 per cell]  2 N 2.56, 8 Rh 2.69-2.77
Rh 0.1592 0.2500 0.6250 [8 per cell]  2 N 1.99
N 0.0000 0.0000 0.5000 [4 per cell]  4 Rh 1.99

Calculated values
uncorrected energy	-124.35	eV per cell
formation energy without anion corrections	793	meV per atom
density	13.15	Mg/m³
DOS(E_F)	14.13	states/eV per cell

---

No. 16
This record from Alexandria describes an optimized crystal structure of OsRhN3. The functional is PBE.

a b c (Å): 3.8405 3.8405 3.8405
angles (deg): 90.00 90.00 90.00
With the nearest neighbours (Å) after each atom.
Space group Pm-3m (No. 221)
One atom of each set of equivalent atoms:
Os 0.0000 0.0000 0.0000 [1 per cell]  6 N 1.92
Rh 0.5000 0.5000 0.5000 [1 per cell]  12 N 2.72
N 0.0000 0.0000 0.5000 [3 per cell]  2 Os 1.92

Calculated values
uncorrected energy	-36.67	eV per cell
formation energy without anion corrections	1377	meV per atom
density	9.83	Mg/m³
DOS(E_F)	4.76	states/eV per cell

---

No. 17
This record from Alexandria describes an optimized crystal structure of OsRhN. The functional is PBE.

a b c (Å): 7.9136 2.7725 7.2578
angles (deg): 90.00 97.38 90.00
With the nearest neighbours (Å) after each atom.
Space group C2/m (No. 12)
One atom of each set of equivalent atoms:
Os 0.1277 0.0000 0.4253 [4 per cell]  3 Os 2.41-2.51, 3 Rh 2.66-2.70
Rh 0.1968 0.0000 0.7992 [4 per cell]  3 N 2.24
N 0.0739 0.5000 0.9851 [4 per cell]  1 N 1.22

Calculated values
uncorrected energy	-100.63	eV per cell
formation energy without anion corrections	583	meV per atom
density	12.92	Mg/m³
DOS(E_F)	4.77	states/eV per cell

---

No. 18
This record from Alexandria describes an optimized crystal structure of Os3RhN. The functional is PBE.

a b c (Å): 4.0327 4.0327 4.0327
angles (deg): 90.00 90.00 90.00
With the nearest neighbours (Å) after each atom.
Space group Pm-3m (No. 221)
One atom of each set of equivalent atoms:
Os 0.0000 0.0000 0.5000 [3 per cell]  2 N 2.02
Rh 0.5000 0.5000 0.5000 [1 per cell]  12 Os 2.85
N 0.0000 0.0000 0.0000 [1 per cell]  6 Os 2.02

Calculated values
uncorrected energy	-46.22	eV per cell
formation energy without anion corrections	629	meV per atom
density	17.41	Mg/m³
DOS(E_F)	2.34	states/eV per cell
ΔE to the lowest computed polymorph	0	meV/atom

---

No. 19
This record from Alexandria describes an optimized crystal structure of OsRh2N2. The functional is PBE.

a b c (Å): 4.1953 4.1953 7.5221
angles (deg): 90.00 90.00 90.00
With the nearest neighbours (Å) after each atom.
Space group I4/mmm (No. 139)
One atom of each set of equivalent atoms:
Os 0.0000 0.0000 0.0000 [2 per cell]  2 N 1.94
Rh 0.0000 0.5000 0.2500 [4 per cell]  4 N 2.10
N 0.0000 0.0000 0.2575 [4 per cell]  1 Os 1.94, 4 Rh 2.10

Calculated values
uncorrected energy	-76.57	eV per cell
formation energy without anion corrections	860	meV per atom
density	10.64	Mg/m³
DOS(E_F)	7.75	states/eV per cell
ΔE to the lowest computed polymorph	420	meV/atom

---

No. 20
This record from Alexandria describes an optimized crystal structure of OsRh2N2. The functional is PBE.

a b c (Å): 5.4821 5.4821 4.0188
angles (deg): 90.00 90.00 90.00
With the nearest neighbours (Å) after each atom.
Space group P4/mbm (No. 127)
One atom of each set of equivalent atoms:
Os 0.0000 0.0000 0.0000 [2 per cell]  4 N 2.00
Rh 0.1808 0.3192 0.5000 [4 per cell]  2 N 2.01
N 0.1864 0.3136 0.0000 [4 per cell]  2 Os 2.00, 2 Rh 2.01

Calculated values
uncorrected energy	-80.77	eV per cell
formation energy without anion corrections	440	meV per atom
density	11.66	Mg/m³
DOS(E_F)	12.34	states/eV per cell
ΔE to the lowest computed polymorph	0	meV/atom